#one
A relaxed structure of LaY4Sc2. Source: Alexandria, functional PBE-GGA.

Summary:
- space-group type = No. 139

```
7
Lattice="-0.875 -3.852 3.946 5.095 -2.092 -0.912 5.090 1.916 6.950" Properties=species:S:1:pos:R:3 pbc="T T T"
Y 5.345 -4.098 5.085
Y -0.438 -1.926 1.973
Y 2.548 -1.046 -0.456
Y 3.965 0.070 4.898
La 0.000 0.000 0.000
Sc 6.580 -2.073 7.336
Sc 2.730 -1.955 2.647
```

=====

#two
A relaxed structure of LaY4Sc2. Source: Alexandria, functional PBE-GGA.

Summary:
- space-group type = No. 1

```
14
Lattice="6.693 0.867 -1.730 -3.437 7.114 -3.077 0.716 -0.392 8.628" Properties=species:S:1:pos:R:3 pbc="T T T"
Y 3.522 6.699 -2.583
Y 0.676 3.213 -1.477
Y 4.897 2.375 0.519
Y 4.222 1.156 3.740
Y -1.145 3.740 4.939
Y 2.185 4.196 4.008
Y 3.495 0.107 7.072
Y 1.602 1.860 1.459
La 3.380 7.560 2.927
La -0.609 4.900 1.381
Sc 0.860 0.876 4.597
Sc 0.194 6.245 -1.815
Sc 2.712 5.198 0.366
Sc 3.984 3.638 -2.358
```

=====

#two takes first place; second place is 677 meV/atom up.

=====

#one
A relaxed structure of LaY2Sc2. Source: Alexandria, functional PBE-GGA.

Summary:
- space-group type = No. 74

```
10
Lattice="5.249 0.006 -1.720 -0.911 6.159 -2.761 0.116 0.387 9.226" Properties=species:S:1:pos:R:3 pbc="T T T"
Y 3.021 2.595 4.794
Y 5.066 1.719 2.163
Y 1.433 3.956 -0.048
Y -0.612 4.833 2.583
Sc 0.485 4.564 5.933
Sc 0.929 1.566 7.277
Sc 3.525 4.986 -2.531
Sc 3.969 1.987 -1.187
La 2.574 5.689 3.441
La 1.880 0.863 1.304
```

=====

#two
A relaxed structure of LaY2Sc2. Source: Alexandria, functional PBE-GGA.

Summary:
- space-group type = No. 127

```
10
Lattice="-7.562 5.144 -1.410 -5.256 -6.768 3.492 0.353 1.419 3.282" Properties=species:S:1:pos:R:3 pbc="T T T"
Sc -7.524 -4.005 2.541
Sc -2.900 -1.979 1.168
Sc -5.293 2.381 -0.459
Sc -9.917 0.355 0.915
Y -7.766 2.754 1.612
Y -9.264 -1.398 3.569
Y -3.200 1.193 1.795
Y -4.698 -2.959 3.752
La -6.409 -0.812 1.041
La 0.000 0.000 0.000
```

=====

#three
A relaxed structure of LaY2Sc2. Source: Alexandria, functional PBE-GGA.

Summary:
- space-group type = No. 127

```
10
Lattice="9.189 0.000 0.000 0.000 9.189 0.000 0.000 0.000 3.627" Properties=species:S:1:pos:R:3 pbc="T T T"
Sc 3.042 1.553 1.814
Sc 1.553 6.147 1.814
Sc 7.636 3.042 1.814
Sc 6.147 7.636 1.814
La 4.595 4.595 0.000
La 0.000 0.000 0.000
Y 3.426 8.020 0.000
Y 1.169 3.426 0.000
Y 8.020 5.763 0.000
Y 5.763 1.169 0.000
```

=====

#two takes first place; second place is 7 meV/atom up.

=====

#one
A relaxed structure of LaY6Sc2. Source: Alexandria, functional PBE-GGA.

Summary:
- space-group type = No. 189

```
9
Lattice="3.524 0.000 0.000 0.000 9.601 0.000 0.000 -4.800 8.315" Properties=species:S:1:pos:R:3 pbc="T T T"
Sc 0.000 0.000 5.543
Sc 0.000 4.800 2.772
Y 0.000 -3.319 5.749
Y 1.762 3.009 5.211
Y 0.000 1.481 2.566
Y 1.762 -1.792 3.104
Y 1.762 3.584 0.000
Y 0.000 6.638 0.000
La 1.762 0.000 0.000
```

=====

#two
A relaxed structure of LaY6Sc2. Source: Alexandria, functional PBE-GGA.

Summary:
- space-group type = No. 15

```
18
Lattice="-3.957 -4.300 -2.742 5.609 1.469 -7.536 5.397 -6.194 4.788" Properties=species:S:1:pos:R:3 pbc="T T T"
Y 7.320 -5.658 -0.363
Y 1.050 -7.806 -1.603
Y 6.479 -7.723 -2.992
Y 8.499 -4.050 -4.070
Y 3.108 -2.758 -4.894
Y 3.941 -6.267 -0.597
Y 6.000 -1.219 -3.887
Y -0.270 -3.367 -5.127
Y -1.450 -4.975 -1.420
Y 0.571 -1.302 -2.498
Y 1.633 -3.933 0.612
Y 5.416 -5.092 -6.102
Sc 3.429 -6.765 -3.918
Sc 5.414 -4.409 -2.878
Sc 3.620 -2.260 -1.573
Sc 1.636 -4.616 -2.613
La 2.450 -8.684 1.549
La 4.599 -0.341 -7.039
```

=====

#one takes first place; second place is 39 meV/atom up.

=====

#one
A relaxed structure of La4YSc. Source: Alexandria, functional PBE-GGA.

Summary:
- space-group type = No. 216

```
6
Lattice="0.000 4.706 4.706 4.706 0.000 4.706 4.706 4.706 0.000" Properties=species:S:1:pos:R:3 pbc="T T T"
Y 0.000 0.000 0.000
Sc 7.059 7.059 7.059
La 5.873 5.873 3.539
La 5.873 3.539 5.873
La 3.539 5.873 5.873
La 3.539 3.539 3.539
```

=====

#two
A relaxed structure of La4YSc. Source: Alexandria, functional PBE-GGA.

Summary:
- space-group type = No. 65

```
6
Lattice="-1.855 1.243 -7.653 0.560 -3.343 -7.216 -4.581 -2.341 0.731" Properties=species:S:1:pos:R:3 pbc="T T T"
La -5.013 -3.045 -4.257
La -0.863 -1.397 -9.881
La -3.375 -2.929 -12.078
La -2.501 -1.513 -2.060
Sc 0.000 0.000 0.000
Y -2.938 -2.221 -7.069
```

=====

#three
A relaxed structure of La4YSc. Source: Alexandria, functional PBE-GGA.

Summary:
- space-group type = No. 12

```
6
Lattice="5.902 0.000 0.000 2.951 5.701 -1.003 2.951 -0.956 6.224" Properties=species:S:1:pos:R:3 pbc="T T T"
La 2.951 0.456 3.257
La 8.852 4.289 1.964
La 8.852 3.002 5.520
La 2.951 1.742 -0.299
Y 5.902 2.372 2.610
Sc 0.000 0.000 0.000
```

=====

#two takes first place; second place is 54 meV/atom up.

=====

#one
A relaxed structure of LaYSc3. Source: Alexandria, functional PBE-GGA.

Summary:
- space-group type = No. 12

```
10
Lattice="-3.981 0.236 2.830 -1.334 -6.935 -5.523 3.323 -3.254 4.946" Properties=species:S:1:pos:R:3 pbc="T T T"
Sc -2.475 -1.313 0.853
Sc 0.483 -8.640 1.401
Sc 0.776 -0.815 1.159
Sc -1.819 -6.136 2.179
Sc -0.173 -3.816 0.075
Sc -2.768 -9.136 1.094
Y -3.489 -4.439 -0.312
Y 1.496 -5.514 2.565
La -1.134 -6.907 -1.018
La -0.859 -3.046 3.271
```

=====

#two
A relaxed structure of LaYSc3. Source: Alexandria, functional PBE-GGA.

Summary:
- space-group type = No. 221

```
5
Lattice="-1.869 -3.656 3.329 4.797 -0.477 2.168 -1.199 3.788 3.486" Properties=species:S:1:pos:R:3 pbc="T T T"
Sc -0.600 1.894 1.743
Sc -0.934 -1.828 1.664
Sc 2.398 -0.239 1.084
Y 0.864 -0.173 4.492
La 0.000 0.000 0.000
```

=====

#one takes first place; second place is 569 meV/atom up.

=====

#one
A relaxed structure of La2Y3Sc. Source: Alexandria, functional PBE-GGA.

Summary:
- space-group type = No. 15

```
12
Lattice="8.972 0.256 0.634 0.669 6.633 0.168 0.428 -0.852 6.600" Properties=species:S:1:pos:R:3 pbc="T T T"
Y 0.853 4.982 4.614
Y 7.299 3.759 3.278
Y 2.770 2.278 4.124
Y 4.769 2.128 1.440
Y 5.300 3.909 5.962
Y 9.217 1.055 2.788
La 8.478 1.977 6.394
La 1.591 4.060 1.008
La 5.957 0.458 4.532
La 4.112 5.580 2.870
Sc 7.378 6.206 1.175
Sc 2.691 -0.169 6.227
```

=====

#two
A relaxed structure of La2Y3Sc. Source: Alexandria, functional PBE-GGA.

Summary:
- space-group type = No. 58

```
12
Lattice="5.657 0.000 0.000 0.000 9.798 0.000 0.000 0.000 7.033" Properties=species:S:1:pos:R:3 pbc="T T T"
La 2.828 8.155 1.784
La 2.828 1.643 5.249
La 0.000 3.256 1.733
La 0.000 6.542 5.300
Y 2.828 8.170 5.266
Y 0.000 6.527 1.750
Y 2.828 1.628 1.767
Y 0.000 0.000 0.000
Y 0.000 3.271 5.283
Y 2.828 4.899 3.517
Sc 2.828 4.899 0.000
Sc 0.000 0.000 3.517
```

=====

#one takes first place; second place is 33 meV/atom up.